1.
{"formula": "BaLi2Br", "functional": "PBE", "state": "optimized geometry", "lattice": [[6.767, 0.001, 0.000], [-3.873, 5.549, 0.000], [0.000, 0.000, 4.225]], "species": ["Ba", "Br", "Li", "Li"], "frac_coords": [[0.500, 0.000, 0.500], [0.000, 0.500, 0.500], [0.000, 0.000, 0.000], [0.500, 0.500, 0.000]], "final_energy_ev_per_cell": -9.18, "density_g_cm3": 2.4, "magnetic_moment_mub_per_cell": 0.00, "e_form_raw_mev_per_atom": -440}

---

2.
{"formula": "Ba2LiBr", "functional": "PBE", "state": "optimized geometry", "lattice": [[-1.211, 2.423, -6.480], [4.599, -3.586, -3.915], [-5.597, -1.057, 4.108]], "species": ["Ba", "Ba", "Br", "Li"], "frac_coords": [[0.963, 0.963, 0.000], [0.537, 0.537, 0.000], [0.750, 0.250, 0.500], [0.250, 0.750, 0.500]], "final_energy_ev_per_cell": -9.74, "density_g_cm3": 3.1, "magnetic_moment_mub_per_cell": 0.00, "e_form_raw_mev_per_atom": -576}